# 1
# LiTe2AsN, single point on PBEsol structure, DFT SCAN
# - Calculated volume: 18.03 A^3/atom
# - E: -20.40 eV per atom
# - Fermi-level density of states: 2.84 states/eV per cell
data_LiTe2AsN
_symmetry_space_group_name_H-M 'P 4/m m m'
_symmetry_Int_Tables_number 123
_symmetry_space_group_name_Hall '-P 4 2'
_cell_length_a 5.060
_cell_length_b 5.060
_cell_length_c 3.521
_cell_angle_alpha 90.00
_cell_angle_beta 90.00
_cell_angle_gamma 90.00
loop_
_atom_site_label
_atom_site_type_symbol
_atom_site_fract_x
_atom_site_fract_y
_atom_site_fract_z
Li1 Li 0.000 0.000 0.000
Te1 Te 0.000 0.500 0.000
As1 As 0.500 0.500 0.500
N1 N 0.000 0.000 0.500


# 2
# RuPtW2, single point on PBEsol structure, DFT SCAN
# - Calculated volume: 14.79 A^3/atom
# - E: -61.27 eV per atom
# - Fermi-level density of states: 2.14 states/eV per cell
data_RuPtW2
_symmetry_space_group_name_H-M 'P m m m'
_symmetry_Int_Tables_number 47
_symmetry_space_group_name_Hall '-P 2 2'
_cell_length_a 2.752
_cell_length_b 3.905
_cell_length_c 5.503
_cell_angle_alpha 90.00
_cell_angle_beta 90.00
_cell_angle_gamma 90.00
loop_
_atom_site_label
_atom_site_type_symbol
_atom_site_fract_x
_atom_site_fract_y
_atom_site_fract_z
Ru1 Ru 0.000 0.000 0.000
Pt1 Pt 0.000 0.000 0.500
W1 W 0.500 0.500 0.238


# 3
# SrCa3, single point on PBEsol structure, DFT SCAN
# - Calculated volume: 42.69 A^3/atom
# - E: -12.80 eV per atom
# - Fermi-level density of states: 6.13 states/eV per cell
data_SrCa3
_symmetry_space_group_name_H-M 'I m m m'
_symmetry_Int_Tables_number 71
_symmetry_space_group_name_Hall '-I 2 2'
_cell_length_a 4.424
_cell_length_b 6.225
_cell_length_c 12.401
_cell_angle_alpha 90.00
_cell_angle_beta 90.00
_cell_angle_gamma 90.00
loop_
_atom_site_label
_atom_site_type_symbol
_atom_site_fract_x
_atom_site_fract_y
_atom_site_fract_z
Sr1 Sr 0.000 0.000 0.000
Ca1 Ca 0.000 0.000 0.500
Ca2 Ca 0.000 0.500 0.244


# 4
# MgZn2Au, single point on PBEsol structure, DFT SCAN
# - Calculated volume: 15.76 A^3/atom
# - E: -25.62 eV per atom
# - Fermi-level density of states: 0.90 states/eV per cell
data_MgZn2Au
_symmetry_space_group_name_H-M 'P 4/m m m'
_symmetry_Int_Tables_number 123
_symmetry_space_group_name_Hall '-P 4 2'
_cell_length_a 3.913
_cell_length_b 3.913
_cell_length_c 4.119
_cell_angle_alpha 90.00
_cell_angle_beta 90.00
_cell_angle_gamma 90.00
loop_
_atom_site_label
_atom_site_type_symbol
_atom_site_fract_x
_atom_site_fract_y
_atom_site_fract_z
Mg1 Mg 0.000 0.000 0.000
Zn1 Zn 0.000 0.500 0.500
Au1 Au 0.500 0.500 0.000


# 5
# NaMn2Si, single point on PBEsol structure, DFT SCAN
# - Calculated volume: 13.14 A^3/atom
# - E: -12.49 eV per atom
# - Fermi-level density of states: 9.81 states/eV per cell
data_NaMn2Si
_symmetry_space_group_name_H-M 'F m -3 m'
_symmetry_Int_Tables_number 225
_symmetry_space_group_name_Hall '-F 4 2 3'
_cell_length_a 5.947
_cell_length_b 5.947
_cell_length_c 5.947
_cell_angle_alpha 90.00
_cell_angle_beta 90.00
_cell_angle_gamma 90.00
loop_
_atom_site_label
_atom_site_type_symbol
_atom_site_fract_x
_atom_site_fract_y
_atom_site_fract_z
Na1 Na 0.000 0.000 0.000
Mn1 Mn 0.250 0.250 0.250
Si1 Si 0.000 0.000 0.500


# 6
# K2NaGa2, single point on PBEsol structure, DFT SCAN
# - Calculated volume: 36.51 A^3/atom
# - E: -10.56 eV per atom
# - Fermi-level density of states: 6.29 states/eV per cell
data_K2NaGa2
_symmetry_space_group_name_H-M 'I 4/m m m'
_symmetry_Int_Tables_number 139
_symmetry_space_group_name_Hall '-I 4 2'
_cell_length_a 5.093
_cell_length_b 5.093
_cell_length_c 14.071
_cell_angle_alpha 90.00
_cell_angle_beta 90.00
_cell_angle_gamma 90.00
loop_
_atom_site_label
_atom_site_type_symbol
_atom_site_fract_x
_atom_site_fract_y
_atom_site_fract_z
K1 K 0.000 0.500 0.250
Na1 Na 0.000 0.000 0.000
Ga1 Ga 0.000 0.000 0.415


# 7
# ScCo2W, single point on PBEsol structure, DFT SCAN
# - Calculated volume: 13.61 A^3/atom
# - E: -29.39 eV per atom
# - Fermi-level density of states: 8.52 states/eV per cell
data_ScCo2W
_symmetry_space_group_name_H-M 'I m m 2'
_symmetry_Int_Tables_number 44
_symmetry_space_group_name_Hall 'I 2 -2'
_cell_length_a 2.700
_cell_length_b 4.245
_cell_length_c 9.502
_cell_angle_alpha 90.00
_cell_angle_beta 90.00
_cell_angle_gamma 90.00
loop_
_atom_site_label
_atom_site_type_symbol
_atom_site_fract_x
_atom_site_fract_y
_atom_site_fract_z
Sc1 Sc 0.000 0.000 0.000
Co1 Co 0.000 0.000 0.520
Co2 Co 0.000 0.500 0.228
W1 W 0.000 0.500 0.788


# 8
# Be2InHg, single point on PBEsol structure, DFT SCAN
# - Calculated volume: 16.26 A^3/atom
# - E: -27.14 eV per atom
# - Fermi-level density of states: 1.06 states/eV per cell
data_Be2InHg
_symmetry_space_group_name_H-M 'P 4 m m'
_symmetry_Int_Tables_number 99
_symmetry_space_group_name_Hall 'P 4 -2'
_cell_length_a 2.895
_cell_length_b 2.895
_cell_length_c 7.759
_cell_angle_alpha 90.00
_cell_angle_beta 90.00
_cell_angle_gamma 90.00
loop_
_atom_site_label
_atom_site_type_symbol
_atom_site_fract_x
_atom_site_fract_y
_atom_site_fract_z
Be1 Be 0.000 0.000 0.000
Be2 Be 0.500 0.500 0.130
In1 In 0.500 0.500 0.731
Hg1 Hg 0.000 0.000 0.370


# 9
# AlCd3Ru, single point on PBEsol structure, DFT SCAN
# - Calculated volume: 26.08 A^3/atom
# - E: -25.94 eV per atom
# - Fermi-level density of states: 2.89 states/eV per cell
data_AlCd3Ru
_symmetry_space_group_name_H-M 'P m -3 m'
_symmetry_Int_Tables_number 221
_symmetry_space_group_name_Hall '-P 4 2 3'
_cell_length_a 5.071
_cell_length_b 5.071
_cell_length_c 5.071
_cell_angle_alpha 90.00
_cell_angle_beta 90.00
_cell_angle_gamma 90.00
loop_
_atom_site_label
_atom_site_type_symbol
_atom_site_fract_x
_atom_site_fract_y
_atom_site_fract_z
Al1 Al 0.000 0.000 0.000
Cd1 Cd 0.000 0.500 0.500
Ru1 Ru 0.500 0.500 0.500


# 10
# Si2RuAu, single point on PBEsol structure, DFT SCAN
# - Calculated volume: 14.11 A^3/atom
# - E: -31.04 eV per atom
# - Fermi-level density of states: 2.01 states/eV per cell
data_Si2RuAu
_symmetry_space_group_name_H-M 'P 4/m m m'
_symmetry_Int_Tables_number 123
_symmetry_space_group_name_Hall '-P 4 2'
_cell_length_a 2.975
_cell_length_b 2.975
_cell_length_c 6.378
_cell_angle_alpha 90.00
_cell_angle_beta 90.00
_cell_angle_gamma 90.00
loop_
_atom_site_label
_atom_site_type_symbol
_atom_site_fract_x
_atom_site_fract_y
_atom_site_fract_z
Si1 Si 0.000 0.000 0.222
Ru1 Ru 0.500 0.500 0.000
Au1 Au 0.500 0.500 0.500


# 11
# CdTcNi6, single point on PBEsol structure, DFT SCAN
# - Calculated volume: 11.74 A^3/atom
# - E: -20.19 eV per atom
# - Fermi-level density of states: 61.35 states/eV per cell
data_CdTcNi6
_symmetry_space_group_name_H-M 'C m m m'
_symmetry_Int_Tables_number 65
_symmetry_space_group_name_Hall '-C 2 2'
_cell_length_a 7.217
_cell_length_b 10.196
_cell_length_c 10.215
_cell_angle_alpha 90.00
_cell_angle_beta 90.00
_cell_angle_gamma 90.00
loop_
_atom_site_label
_atom_site_type_symbol
_atom_site_fract_x
_atom_site_fract_y
_atom_site_fract_z
Cd1 Cd 0.000 0.000 0.248
Cd2 Cd 0.000 0.245 0.500
Tc1 Tc 0.000 0.247 0.000
Tc2 Tc 0.000 0.500 0.255
Ni1 Ni 0.000 0.000 0.000
Ni2 Ni 0.000 0.000 0.500
Ni3 Ni 0.000 0.256 0.240
Ni4 Ni 0.000 0.500 0.000
Ni5 Ni 0.000 0.500 0.500
Ni6 Ni 0.240 0.378 0.369
Ni7 Ni 0.241 0.372 0.120


# 12
# Zr2Al2Ni, single point on PBEsol structure, DFT SCAN
# - Calculated volume: 17.13 A^3/atom
# - E: -19.17 eV per atom
# - Fermi-level density of states: 17.47 states/eV per cell
data_Zr2Al2Ni
_symmetry_space_group_name_H-M 'C 1 2/c 1'
_symmetry_Int_Tables_number 15
_symmetry_space_group_name_Hall '-C 2yc'
_cell_length_a 9.420
_cell_length_b 5.476
_cell_length_c 6.846
_cell_angle_alpha 90.00
_cell_angle_beta 103.98
_cell_angle_gamma 90.00
loop_
_atom_site_label
_atom_site_type_symbol
_atom_site_fract_x
_atom_site_fract_y
_atom_site_fract_z
Zr1 Zr 0.142 0.104 0.144
Al1 Al 0.125 0.389 0.490
Ni1 Ni 0.000 0.305 0.750


- Among the records above, which one has the lowest Fermi-level density of states?
  MgZn2Au


- What is the Fermi-level density of states in the third record?
  6.13 states/eV per cell


Please write out number 5 again, unchanged.
# NaMn2Si, single point on PBEsol structure, DFT SCAN
# - Calculated volume: 13.14 A^3/atom
# - E: -12.49 eV per atom
# - Fermi-level density of states: 9.81 states/eV per cell
data_NaMn2Si
_symmetry_space_group_name_H-M 'F m -3 m'
_symmetry_Int_Tables_number 225
_symmetry_space_group_name_Hall '-F 4 2 3'
_cell_length_a 5.947
_cell_length_b 5.947
_cell_length_c 5.947
_cell_angle_alpha 90.00
_cell_angle_beta 90.00
_cell_angle_gamma 90.00
loop_
_atom_site_label
_atom_site_type_symbol
_atom_site_fract_x
_atom_site_fract_y
_atom_site_fract_z
Na1 Na 0.000 0.000 0.000
Mn1 Mn 0.250 0.250 0.250
Si1 Si 0.000 0.000 0.500


- Look up the calculated volume of the ninth one.
  26.08 A^3/atom